1.
## Pm3Pr6Ho2Mg (PBE-GGA)

Data for an optimized crystal structure of Pm3Pr6Ho2Mg.

```
Pm3Pr6Ho2Mg
1.0
3.159 -5.481 0.000
3.159 5.481 0.000
-2.126 0.000 11.739
Pm Pr Ho Mg
3 6 2 1
Direct
0.000 0.000 0.000 Pm
0.333 0.667 0.000 Pm
0.667 0.333 0.000 Pm
0.087 0.420 0.255 Pr
0.249 0.249 0.746 Pr
0.420 0.087 0.255 Pr
0.580 0.913 0.745 Pr
0.751 0.751 0.254 Pr
0.913 0.580 0.745 Pr
0.166 0.834 0.500 Ho
0.834 0.166 0.500 Ho
0.500 0.500 0.500 Mg
```

- ΔE_f: 0.026 eV/atom
- Space-group type: C2/m
- Crystal system: monoclinic



2.
## LiHf2ZnRu (PBE-GGA)

Data for an optimized crystal structure of LiHf2ZnRu.

```
LiHf2ZnRu
1.0
4.703 0.000 0.000
0.000 4.703 0.000
0.000 0.000 3.974
Li Hf Zn Ru
1 2 1 1
Direct
0.000 0.000 0.000 Li
0.000 0.500 0.000 Hf
0.500 0.000 0.000 Hf
0.500 0.500 0.500 Zn
0.000 0.000 0.500 Ru
```

- ΔE_f: 0.623 eV/atom
- Space-group type: P4/mmm
- Crystal system: tetragonal



3.
## BeCr2 (PBE-GGA)

Data for an optimized crystal structure of BeCr2.

```
BeCr2
1.0
-2.643 2.643 2.203
2.643 -2.643 2.203
2.643 2.643 -2.203
Be Cr
2 4
Direct
0.250 0.250 0.000 Be
0.750 0.750 0.000 Be
0.155 0.655 0.811 Cr
0.345 0.155 0.500 Cr
0.655 0.845 0.500 Cr
0.845 0.345 0.189 Cr
```

- ΔE_f: 0.032 eV/atom
- Space-group type: I4/mcm
- Crystal system: tetragonal



4.
## Rb2NpCl2O4 (PBE-GGA)

Data for an optimized crystal structure of Rb2NpCl2O4.

```
Rb2NpCl2O4
1.0
-3.417 3.417 4.872
3.417 -3.417 4.872
3.417 3.417 -4.872
Rb Np Cl O
2 1 2 4
Direct
0.250 0.750 0.500 Rb
0.750 0.250 0.500 Rb
0.000 0.000 0.000 Np
0.279 0.279 0.000 Cl
0.721 0.721 0.000 Cl
0.192 0.192 0.385 O
0.192 0.808 0.000 O
0.808 0.192 0.000 O
0.808 0.808 0.615 O
```

- Uncorrected formation energy: -1.971 eV per atom
- Space-group type: I4/mmm
- Crystal system: tetragonal



| no. | total magnetic moment (μB/cell) |
| --- | --- |
| 1 | 0.000 |
| 2 | 0.000 |
| 3 | 0.000 |
| 4 | 1.093 |